Density functional theory data (PBE+U) for Na2PuNi2O6 after structural relaxation.

Geometry as POSCAR:
```
Na2PuNi2O6
1.0
2.6850 -4.6362 0.0000
2.6850 4.6362 0.0000
-1.9736 0.0000 5.5797
Na Pu Ni O
2 1 2 6
Cartesian
2.6850 2.9932 0.0000
2.6850 -2.9932 0.0000
-0.9868 0.0000 2.7898
1.6982 1.5369 2.7898
1.6982 -1.5369 2.7898
-0.1301 1.5495 3.9042
0.7480 0.0000 1.6760
-0.1301 -1.5495 3.9042
3.5265 1.5495 1.6755
2.6485 0.0000 3.9037
3.5265 -1.5495 1.6755
```

Computed properties:
- Final energy: -6.5084 eV/atom
- Spin magnetization: 2.0 μB/f.u.
- Space-group type: C2/m